(1)
4
Lattice="1.8155 1.0482 12.0979 -1.8155 1.0482 12.0979 0.0000 -2.0964 12.0979" Properties=species:S:1:pos:R:3 comment="CaPr2Mg, relaxed, DFT PBE-GGA" sg="R3m, No. 160" mass_density_g_cm3=4.16 polymorph_energy_ev_per_fu=0.38 total_energy_ev_per_cell=-12.83 vol_a3_per_cell=138.1 pbc="T T T"
Ca 0.0000 0.0000 0.0000
Pr 0.0000 0.0000 15.3736
Pr 0.0000 0.0000 20.8897
Mg 0.0000 0.0000 30.2282



(2)
8
Lattice="3.4058 -4.0707 0.0000 3.4058 4.0707 0.0000 0.0000 0.0000 4.0763" Properties=species:S:1:pos:R:3 comment="LiZn6Ru, relaxed, DFT PBE-GGA" sg="Cmmm, No. 65" mass_density_g_cm3=7.35 polymorph_energy_ev_per_fu=0.00 total_energy_ev_per_cell=-19.98 vol_a3_per_cell=113.0 pbc="T T T"
Li 0.0000 0.0000 0.0000
Zn 1.7029 2.0354 0.0000
Zn 1.5921 0.0000 2.0382
Zn 3.4058 1.8587 2.0382
Zn 1.7029 -2.0354 0.0000
Zn 3.4058 -1.8587 2.0382
Zn 5.2196 0.0000 2.0382
Ru 3.4058 0.0000 0.0000



(3)
5
Lattice="4.8802 0.0000 0.0000 0.0000 4.8802 0.0000 0.0000 0.0000 4.9329" Properties=species:S:1:pos:R:3 comment="ScPd2BrN, relaxed, DFT PBE-GGA" raw_formation_energy_mev_per_atom=1136.3 sg="P4/mmm, No. 123" mass_density_g_cm3=4.97 total_energy_ev_per_cell=-21.03 vol_a3_per_cell=117.5 pbc="T T T"
Sc 0.0000 0.0000 0.0000
Pd 0.0000 2.4401 0.0000
Pd 2.4401 0.0000 0.0000
Br 0.0000 0.0000 2.4665
N 2.4401 2.4401 2.4665



(4)
24
Lattice="7.4852 -10.6562 0.0000 7.4852 10.6562 0.0000 0.0000 0.0000 3.7628" Properties=species:S:1:pos:R:3 comment="Ce11In9Ru4, relaxed, DFT PBE-GGA" sg="Cmmm, No. 65" mass_density_g_cm3=8.24 total_energy_ev_per_cell=-137.35 vol_a3_per_cell=600.3 pbc="T T T"
Ce 0.0000 0.0000 0.0000
Ce 3.7841 3.7429 0.0000
Ce 7.4852 7.4779 0.0000
Ce 4.7360 0.0000 0.0000
Ce 7.4852 2.7316 0.0000
Ce 3.7841 -3.7429 0.0000
Ce 11.1864 3.7429 0.0000
Ce 7.4852 -2.7316 0.0000
Ce 10.2345 0.0000 0.0000
Ce 7.4852 -7.4779 0.0000
Ce 11.1864 -3.7429 0.0000
In 2.2953 1.5205 1.8814
In 5.9859 5.1549 1.8814
In 2.2953 -1.5205 1.8814
In 8.9846 5.1549 1.8814
In 7.4852 0.0000 1.8814
In 5.9859 -5.1549 1.8814
In 12.6752 1.5205 1.8814
In 8.9846 -5.1549 1.8814
In 12.6752 -1.5205 1.8814
Ru 5.1577 2.1962 1.8814
Ru 5.1577 -2.1962 1.8814
Ru 9.8128 2.1962 1.8814
Ru 9.8128 -2.1962 1.8814



(5)
9
Lattice="5.5155 0.0000 0.0000 2.7541 7.2927 0.0000 2.7558 2.4044 7.1348" Properties=species:S:1:pos:R:3 comment="Cs2Sc2Se5, relaxed, DFT PBE-GGA" raw_formation_energy_mev_per_atom=-1307.4 sg="P-1, No. 2" mass_density_g_cm3=4.34 total_energy_ev_per_cell=-43.56 vol_a3_per_cell=287.0 pbc="T T T"
Cs 1.3766 0.6551 1.4775
Cs 9.6488 9.0420 5.6573
Sc 4.1359 3.6738 2.6014
Sc 6.8895 6.0233 4.5334
Se 4.1332 5.6247 4.4036
Se 6.8914 7.2291 7.0829
Se 4.1356 1.2022 3.5674
Se 4.1339 2.4680 0.0519
Se 6.8921 4.0724 2.7312



(6)
5
Lattice="4.1050 0.0000 0.0000 0.0000 4.1050 0.0000 0.0000 0.0000 4.3423" Properties=species:S:1:pos:R:3 comment="ReNClF2, relaxed, DFT PBE-GGA" raw_formation_energy_mev_per_atom=1575.5 sg="P4/mmm, No. 123" mass_density_g_cm3=6.21 polymorph_energy_ev_per_fu=10.04 total_energy_ev_per_cell=-18.49 vol_a3_per_cell=73.2 pbc="T T T"
Re 0.0000 0.0000 0.0000
N 2.0525 2.0525 0.0000
Cl 2.0525 2.0525 2.1712
F 0.0000 2.0525 2.1712
F 2.0525 0.0000 2.1712



(7)
14
Lattice="4.6818 2.7030 6.3187 -4.6818 2.7030 6.3187 0.0000 -5.4060 6.3187" Properties=species:S:1:pos:R:3 comment="Sm3BiTe3, relaxed, DFT PBE-GGA" raw_formation_energy_mev_per_atom=-1199.6 sg="R-3, No. 148" mass_density_g_cm3=7.22 total_energy_ev_per_cell=-71.72 vol_a3_per_cell=479.8 pbc="T T T"
Sm -3.5681 -0.0944 7.9681
Sm -1.7023 -3.1372 10.9881
Sm 1.8657 -3.0428 7.9681
Sm -1.8657 3.0429 10.9881
Sm 1.7023 3.1372 7.9681
Sm 3.5681 0.0944 10.9881
Bi 0.0000 0.0000 3.0429
Bi 0.0000 0.0000 15.9132
Te -1.1940 -2.2235 7.7610
Te -2.5226 -0.0777 11.1952
Te -1.3286 2.1458 7.7610
Te 1.3286 -2.1458 11.1952
Te 2.5226 0.0777 7.7610
Te 1.1940 2.2235 11.1952



(8)
5
Lattice="3.8859 0.0000 0.0000 0.0000 3.8859 0.0000 0.0000 0.0000 6.5968" Properties=species:S:1:pos:R:3 comment="YCrGeH2, relaxed, DFT PBE-GGA" sg="P4/mmm, No. 123" mass_density_g_cm3=3.59 total_energy_ev_per_cell=-24.89 vol_a3_per_cell=99.6 pbc="T T T"
Y 0.0000 0.0000 0.0000
Cr 0.0000 0.0000 3.2984
Ge 1.9430 1.9430 0.0000
H 0.0000 1.9430 3.2984
H 1.9430 0.0000 3.2984



(9)
14
Lattice="8.0502 0.0000 0.0000 0.0000 8.0502 0.0000 0.0000 0.0000 3.6377" Properties=species:S:1:pos:R:3 comment="PmCo2Ge4, relaxed, DFT PBE-GGA" sg="P4_2/mnm, No. 136" mass_density_g_cm3=7.80 polymorph_energy_ev_per_fu=1.18 total_energy_ev_per_cell=-78.46 vol_a3_per_cell=235.7 pbc="T T T"
Pm 0.0000 0.0000 0.0000
Pm 4.0251 4.0251 1.8188
Co 1.7661 1.7661 1.8188
Co 2.2590 5.7912 0.0000
Co 5.7912 2.2590 0.0000
Co 6.2841 6.2841 1.8188
Ge 0.5790 5.5924 1.8188
Ge 1.5673 3.4460 0.0000
Ge 2.4578 7.4711 1.8188
Ge 3.4460 1.5673 0.0000
Ge 4.6041 6.4829 0.0000
Ge 5.5924 0.5790 1.8188
Ge 6.4829 4.6041 0.0000
Ge 7.4711 2.4578 1.8188



(10)
10
Lattice="8.5578 -1.8396 0.0000 8.5578 1.8396 0.0000 -1.7161 0.0000 7.7568" Properties=species:S:1:pos:R:3 comment="Nb4Te5P, relaxed, DFT PBE-GGA" raw_formation_energy_mev_per_atom=-478.5 sg="C2/m, No. 12" mass_density_g_cm3=7.08 total_energy_ev_per_cell=-66.18 vol_a3_per_cell=244.2 pbc="T T T"
Nb -0.4952 0.0000 2.3314
Nb 5.3943 0.0000 3.2997
Nb 10.0051 0.0000 4.4570
Nb 15.8946 0.0000 5.4253
Te 1.3218 0.0000 6.5847
Te 2.4330 0.0000 2.5296
Te 8.5578 0.0000 0.0000
Te 12.9664 0.0000 5.2272
Te 14.0776 0.0000 1.1721
P 7.6997 0.0000 3.8784



(11)
10
Lattice="4.1615 0.0000 0.0000 0.0000 4.1615 0.0000 0.0000 0.0000 11.1212" Properties=species:S:1:pos:R:3 comment="Er2Ga4CuAu3, relaxed, DFT PBE-GGA" sg="P-4m2, No. 115" mass_density_g_cm3=10.93 total_energy_ev_per_cell=-40.51 vol_a3_per_cell=192.6 pbc="T T T"
Er 0.0000 2.0808 2.6425
Er 2.0808 0.0000 8.4787
Ga 0.0000 0.0000 5.5606
Ga 0.0000 2.0808 9.6722
Ga 2.0808 0.0000 1.4490
Ga 2.0808 2.0808 5.5606
Cu 2.0808 2.0808 0.0000
Au 0.0000 0.0000 0.0000
Au 0.0000 2.0808 7.1749
Au 2.0808 0.0000 3.9463



(12)
5
Lattice="4.6317 0.0000 0.0000 0.0000 4.6317 0.0000 0.0000 0.0000 4.6317" Properties=species:S:1:pos:R:3 comment="RbCo3Ge, relaxed, DFT PBE-GGA" sg="Pm-3m, No. 221" mass_density_g_cm3=5.60 polymorph_energy_ev_per_fu=7.81 total_energy_ev_per_cell=-14.35 vol_a3_per_cell=99.4 pbc="T T T"
Rb 0.0000 0.0000 0.0000
Co 0.0000 0.0000 2.3159
Co 0.0000 2.3159 0.0000
Co 2.3159 0.0000 0.0000
Ge 2.3159 2.3159 2.3159



(13)
8
Lattice="-3.5906 3.5906 3.9603 3.5906 -3.5906 3.9603 3.5906 3.5906 -3.9603" Properties=species:S:1:pos:R:3 comment="Sr2OsF, relaxed, DFT PBE-GGA" raw_formation_energy_mev_per_atom=-584.0 sg="I-42d, No. 122" mass_density_g_cm3=6.25 polymorph_energy_ev_per_fu=0.00 total_energy_ev_per_cell=-37.60 vol_a3_per_cell=204.2 pbc="T T T"
Sr 1.7953 1.3749 -0.9901
Sr 2.2157 -1.7953 4.9504
Sr 1.7953 2.2157 2.9703
Sr 1.3749 5.3859 0.9901
Os 3.5906 0.0000 1.9802
Os 0.0000 0.0000 3.9603
F 0.0000 0.0000 0.0000
F 0.0000 3.5906 1.9802



(14)
20
Lattice="8.4087 0.0000 0.0000 0.0000 4.2238 0.0000 0.0000 0.0000 10.9856" Properties=species:S:1:pos:R:3 comment="HoAl3Au, relaxed, DFT PBE-GGA" sg="Pnma, No. 62" mass_density_g_cm3=7.54 polymorph_energy_ev_per_fu=0.37 total_energy_ev_per_cell=-86.25 vol_a3_per_cell=390.2 pbc="T T T"
Ho 1.5203 1.0559 0.0736
Ho 2.6840 3.1678 5.5664
Ho 5.7247 1.0559 5.4192
Ho 6.8883 3.1678 10.9120
Al 0.6181 1.0559 6.5506
Al 0.8752 3.1678 8.8567
Al 1.1225 3.1678 2.2858
Al 3.0819 1.0559 7.7786
Al 3.3291 1.0559 3.3639
Al 3.5862 3.1678 1.0578
Al 4.8224 1.0559 9.9278
Al 5.0795 3.1678 7.6217
Al 5.3268 3.1678 3.2070
Al 7.2862 1.0559 8.6998
Al 7.5335 1.0559 2.1289
Al 7.7906 3.1678 4.4350
Au 0.8717 1.0559 3.9659
Au 3.3327 3.1678 9.4587
Au 5.0760 1.0559 1.5269
Au 7.5370 3.1678 7.0197



(15)
4
Lattice="-2.0409 2.0409 4.4986 2.0409 -2.0409 4.4986 2.0409 2.0409 -4.4986" Properties=species:S:1:pos:R:3 comment="AlIn2Mo, relaxed, DFT PBE-GGA" sg="I4/mmm, No. 139" mass_density_g_cm3=7.81 total_energy_ev_per_cell=-19.21 vol_a3_per_cell=75.0 pbc="T T T"
Al 0.0000 0.0000 0.0000
In 2.0409 0.0000 2.2493
In 0.0000 2.0409 2.2493
Mo 0.0000 0.0000 4.4986



(16)
10
Lattice="6.7458 0.0000 0.0000 0.5736 7.1036 0.0000 2.6094 3.3556 5.9539" Properties=species:S:1:pos:R:3 comment="Tl2FeAuCl6, relaxed, DFT PBE-GGA" raw_formation_energy_mev_per_atom=-731.0 sg="P-1, No. 2" mass_density_g_cm3=5.09 total_energy_ev_per_cell=-34.86 vol_a3_per_cell=285.3 pbc="T T T"
Tl 2.2983 2.2203 1.1168
Tl 7.6304 8.2389 4.8371
Fe 4.9644 5.2296 2.9770
Au 0.0000 0.0000 0.0000
Cl 3.7442 6.6716 4.3259
Cl 3.9474 3.1342 4.0812
Cl 3.2152 5.2218 1.3554
Cl 6.7136 5.2375 4.5985
Cl 5.9814 7.3251 1.8727
Cl 6.1846 3.7876 1.6280



(17)
12
Lattice="8.4109 -4.0370 0.0000 8.4109 4.0370 0.0000 -0.3393 0.0000 5.2741" Properties=species:S:1:pos:R:3 comment="Rb3NbBr2F6, relaxed, DFT PBE-GGA" raw_formation_energy_mev_per_atom=-2613.0 sg="C2/m, No. 12" mass_density_g_cm3=2.89 total_energy_ev_per_cell=-58.90 vol_a3_per_cell=358.2 pbc="T T T"
Rb 0.0000 0.0000 0.0000
Rb 4.0358 2.0185 2.6371
Rb 4.0358 -2.0185 2.6371
Nb 8.2412 0.0000 2.6371
Br 2.9741 0.0000 5.2380
Br 13.5084 0.0000 0.0362
F 7.9609 1.4040 1.3338
F 8.5216 1.4040 3.9404
F 6.3202 0.0000 3.0018
F 10.1623 0.0000 2.2723
F 7.9609 -1.4040 1.3338
F 8.5216 -1.4040 3.9404